Entry from Alexandria: crystalline SrTlO2 at its relaxed geometry (PBE).

Calculated values
Energy relative to the lowest polymorph listed for this composition = 76 meV/atom
N(E_F) = 0.9 states/eV/cell

Unit cell a=5.493 b=5.493 c=11.380 alpha=90.00 beta=90.00 gamma=90.00
Space group I-42d (No. 122)
Inequivalent atoms, fractional coordinates:
Sr  0.000  0.000  0.000 (multiplicity 4)
Tl  0.000  0.000  0.500 (multiplicity 4)
O  0.240  0.250  0.625 (multiplicity 8)

***

Entry from Alexandria: crystalline Sr3TlO4 at its relaxed geometry (PBE).

Calculated values
Energy relative to the lowest polymorph listed for this composition = 0 meV/atom
N(E_F) = 7.2 states/eV/cell

Unit cell a=7.3391 b=7.3391 c=8.9903 alpha=90.00 beta=90.00 gamma=120.00
Space group R3m (No. 160, hexagonal axes)
Inequivalent atoms, fractional coordinates:
Sr  0.0001  0.5000  0.0000 (multiplicity 9)
Tl  0.0000  0.0000  0.0004 (multiplicity 3)
O  0.0000  0.0000  0.5001 (multiplicity 3)
O  0.1673  0.3345  0.8325 (multiplicity 9)

***

Entry from Alexandria: crystalline SrTl2O2 at its relaxed geometry (PBE).

Calculated values
Energy relative to the lowest polymorph listed for this composition = 873 meV/atom
N(E_F) = 5.2 states/eV/cell

Unit cell a=4.011 b=4.011 c=13.346 alpha=90.00 beta=90.00 gamma=90.00
Space group I4/mmm (No. 139)
Inequivalent atoms, fractional coordinates:
Sr  0.000  0.000  0.000 (multiplicity 2)
Tl  0.000  0.500  0.250 (multiplicity 4)
O  0.000  0.000  0.400 (multiplicity 4)

***

Entry from Alexandria: crystalline SrTl2O2 at its relaxed geometry (PBE).

Calculated values
Energy relative to the lowest polymorph listed for this composition = 0 meV/atom
N(E_F) = 0.0 states/eV/cell

Unit cell a=3.6754 b=3.6754 c=28.2684 alpha=90.00 beta=90.00 gamma=120.00
Space group R-3m (No. 166, hexagonal axes)
Inequivalent atoms, fractional coordinates:
Sr  0.0000  0.0000  0.0000 (multiplicity 3)
Tl  0.0000  0.0000  0.2282 (multiplicity 6)
O  0.0000  0.0000  0.3837 (multiplicity 6)

***

Entry from Alexandria: crystalline Sr3Tl2O6 at its relaxed geometry (PBE).

Calculated values
Energy relative to the lowest polymorph listed for this composition = 0 meV/atom

Unit cell a=12.020 b=17.217 c=3.529 alpha=90.00 beta=90.00 gamma=90.00
Space group Pbam (No. 55)
Inequivalent atoms, fractional coordinates:
Sr  0.095  0.146  0.000 (multiplicity 4)
Sr  0.133  0.541  0.000 (multiplicity 4)
Sr  0.176  0.775  0.000 (multiplicity 4)
Tl  0.090  0.353  0.500 (multiplicity 4)
Tl  0.132  0.958  0.500 (multiplicity 4)
O  0.000  0.000  0.000 (multiplicity 2)
O  0.000  0.500  0.500 (multiplicity 2)
O  0.028  0.670  0.000 (multiplicity 4)
O  0.062  0.846  0.500 (multiplicity 4)
O  0.185  0.239  0.500 (multiplicity 4)
O  0.213  0.066  0.500 (multiplicity 4)
O  0.213  0.404  0.000 (multiplicity 4)

***

Entry from Alexandria: crystalline SrTl4O6 at its relaxed geometry (PBE).

Calculated values
N(E_F) = 10.9 states/eV/cell

Unit cell a=3.589 b=11.860 c=17.061 alpha=90.00 beta=90.00 gamma=90.00
Space group Cmcm (No. 63)
Inequivalent atoms, fractional coordinates:
Sr  0.000  0.177  0.250 (multiplicity 4)
Tl  0.000  0.078  0.636 (multiplicity 8)
Tl  0.000  0.356  0.545 (multiplicity 8)
O  0.000  0.000  0.000 (multiplicity 4)
O  0.000  0.176  0.750 (multiplicity 4)
O  0.000  0.277  0.072 (multiplicity 8)
O  0.000  0.428  0.660 (multiplicity 8)

***

| no. | formation energy from raw total energies (eV per atom) | ρ (g cm⁻³) |
| --- | --- | --- |
| 1 | -1.577 | 6.3 |
| 2 | -2.209 | 6.3 |
| 3 | -0.607 | 8.2 |
| 4 | -1.480 | 8.0 |
| 5 | -1.845 | 7.0 |
| 6 | -0.990 | 9.2 |